1.
Crystalline KY2GeIr at its relaxed geometry, computed with GGA-PBE.

## Properties
The calculation puts the total moment at 0.0 Bohr magnetons per cell. As for the formation energy: -0.16 eV per atom. The calculation puts the density of states at the Fermi level at 0.603 states/eV per atom.

Lattice parameters (Å, degrees): 5.5179 5.5179 4.8680 90.00 90.00 90.00
Closest atoms and distances in Å follow each position.
Fractional coordinates of all 5 atoms:
K (0.0000, 0.0000, 0.0000)  8 Y 3.68, 4 Ge 3.90
Y (0.0000, 0.5000, 0.5000)  2 Ir 2.76
Y (0.5000, 0.0000, 0.5000)  2 Ir 2.76
Ge (0.5000, 0.5000, 0.0000)  2 Ir 2.43
Ir (0.5000, 0.5000, 0.5000)  2 Ge 2.43


2.
Crystalline Ac2Mg17Cd3 at its relaxed geometry, computed with GGA-PBE.

## Properties
The calculation puts the total moment at 0.0 Bohr magnetons per cell. As for the formation energy: 0.05 eV per atom. The calculation puts the density of states at the Fermi level at 0.504 states/eV per atom.

Lattice parameters (Å, degrees): 8.4155 8.4155 8.4155 84.12 84.12 84.12
Closest atoms and distances in Å follow each position.
Fractional coordinates of all 22 atoms:
Ac (0.1511, 0.1511, 0.1511)  3 Cd 3.26
Ac (0.8489, 0.8489, 0.8489)  3 Cd 3.26
Mg (0.0000, 0.5000, 0.5000)  10 Mg 3.13-3.40
Mg (0.1674, 0.1674, 0.6895)  1 Cd 2.80, 4 Mg 3.05-3.12
Mg (0.1674, 0.6895, 0.1674)  1 Cd 2.80, 4 Mg 3.05-3.12
Mg (0.2426, 0.5000, 0.7574)  1 Cd 2.73, 4 Mg 2.90-3.05
Mg (0.2426, 0.7574, 0.5000)  1 Cd 2.73, 4 Mg 2.90-3.05
Mg (0.3105, 0.8326, 0.8326)  1 Cd 2.80, 4 Mg 3.05-3.12
Mg (0.3941, 0.3941, 0.3941)  13 Mg 3.36-3.50
Mg (0.5000, 0.0000, 0.5000)  10 Mg 3.13-3.40
Mg (0.5000, 0.2426, 0.7574)  1 Cd 2.73, 4 Mg 2.90-3.05
Mg (0.5000, 0.5000, 0.0000)  10 Mg 3.13-3.40
Mg (0.5000, 0.7574, 0.2426)  1 Cd 2.73, 4 Mg 2.90-3.05
Mg (0.6059, 0.6059, 0.6059)  13 Mg 3.36-3.50
Mg (0.6895, 0.1674, 0.1674)  1 Cd 2.80, 4 Mg 3.05-3.12
Mg (0.7574, 0.2426, 0.5000)  1 Cd 2.73, 4 Mg 2.90-3.05
Mg (0.7574, 0.5000, 0.2426)  1 Cd 2.73, 4 Mg 2.90-3.05
Mg (0.8326, 0.3105, 0.8326)  1 Cd 2.80, 4 Mg 3.05-3.12
Mg (0.8326, 0.8326, 0.3105)  1 Cd 2.80, 4 Mg 3.05-3.12
Cd (0.0000, 0.0000, 0.5000)  4 Mg 2.73-2.80
Cd (0.0000, 0.5000, 0.0000)  4 Mg 2.73-2.80
Cd (0.5000, 0.0000, 0.0000)  4 Mg 2.73-2.80


3.
Crystalline Tb7Ce2Er2 at its relaxed geometry, computed with GGA-PBE.

## Properties
The calculation puts the total moment at 2.2 Bohr magnetons per cell. As for the formation energy: 0.20 eV per atom. The calculation puts the density of states at the Fermi level at 2.190 states/eV per atom.

Lattice parameters (Å, degrees): 8.0086 8.0086 5.9753 105.34 105.34 92.61
Closest atoms and distances in Å follow each position.
Fractional coordinates of all 11 atoms:
Tb (0.0000, 0.0000, 0.0000)  4 Tb 3.29, 2 Er 3.45
Tb (0.0652, 0.5889, 0.8246)  2 Tb 3.18-3.29, 2 Ce 3.22-3.43, 1 Er 3.35
Tb (0.4088, 0.4088, 0.1937)  3 Er 3.41-3.70, 6 Tb 3.44-3.77, 2 Ce 3.72
Tb (0.4111, 0.9348, 0.1754)  2 Tb 3.18-3.29, 2 Ce 3.22-3.43, 1 Er 3.35
Tb (0.5889, 0.0652, 0.8246)  2 Tb 3.18-3.29, 2 Ce 3.22-3.43, 1 Er 3.35
Tb (0.5912, 0.5912, 0.8063)  3 Er 3.41-3.70, 6 Tb 3.44-3.77, 2 Ce 3.72
Tb (0.9348, 0.4111, 0.1754)  2 Tb 3.18-3.29, 2 Ce 3.22-3.43, 1 Er 3.35
Ce (0.2148, 0.7852, 0.5000)  4 Tb 3.22-3.43, 2 Er 3.45
Ce (0.7852, 0.2148, 0.5000)  4 Tb 3.22-3.43, 2 Er 3.45
Er (0.2295, 0.2295, 0.5855)  8 Tb 3.35-3.70, 2 Ce 3.45
Er (0.7705, 0.7705, 0.4145)  8 Tb 3.35-3.70, 2 Ce 3.45


4.
Crystalline KBaBr2F at its relaxed geometry, computed with GGA-PBE.

## Properties
The calculation puts the total moment at 0.0 Bohr magnetons per cell. Its energy relative to the elements, uncorrected is -2354 meV per atom. The calculation puts the density of states at the Fermi level at 0.000 states/eV per atom.

Lattice parameters (Å, degrees): 6.4259 6.4259 4.9576 90.00 90.00 90.00
Closest atoms and distances in Å follow each position.
Fractional coordinates of all 5 atoms:
K (0.0000, 0.0000, 0.0000)  8 Br 4.06, 4 F 4.54
Ba (0.5000, 0.5000, 0.5000)  2 F 2.48
Br (0.0000, 0.5000, 0.5000)  2 Ba 3.21
Br (0.5000, 0.0000, 0.5000)  2 Ba 3.21
F (0.5000, 0.5000, 0.0000)  2 Ba 2.48


5.
Crystalline Nb3AlCo8 at its relaxed geometry, computed with GGA-PBE.

## Properties
The calculation puts the total moment at 2.8 Bohr magnetons per cell. As for the formation energy: -0.20 eV per atom. The calculation puts the density of states at the Fermi level at 1.437 states/eV per atom.

Lattice parameters (Å, degrees): 8.2058 8.2058 8.2058 33.56 33.56 33.56
Closest atoms and distances in Å follow each position.
Fractional coordinates of all 12 atoms:
Nb (0.0000, 0.0000, 0.0000)  12 Co 2.72-2.82, 3 Al 2.86, 1 Nb 2.91
Nb (0.1255, 0.1255, 0.1255)  12 Co 2.74-2.82, 4 Nb 2.91-2.95
Nb (0.5067, 0.5067, 0.5067)  12 Co 2.73-2.85, 1 Al 2.88, 3 Nb 2.95
Al (0.6307, 0.6307, 0.6307)  12 Co 2.73-2.81, 4 Nb 2.86-2.88
Co (0.0653, 0.5662, 0.5662)  6 Co 2.36-2.39
Co (0.0668, 0.0668, 0.5629)  6 Co 2.35-2.39
Co (0.0668, 0.5629, 0.0668)  6 Co 2.35-2.39
Co (0.3149, 0.3149, 0.3149)  6 Co 2.35-2.39
Co (0.5629, 0.0668, 0.0668)  6 Co 2.35-2.39
Co (0.5662, 0.0653, 0.5662)  6 Co 2.36-2.39
Co (0.5662, 0.5662, 0.0653)  6 Co 2.36-2.39
Co (0.8153, 0.8153, 0.8153)  6 Co 2.36-2.38


6.
Crystalline Pa2ReNi3 at its relaxed geometry, computed with GGA-PBE.

## Properties
The calculation puts the total moment at 0.0 Bohr magnetons per cell. As for the formation energy: -0.33 eV per atom. The calculation puts the density of states at the Fermi level at 1.119 states/eV per atom.

Lattice parameters (Å, degrees): 5.0118 5.0118 5.2759 118.38 118.38 60.16
Closest atoms and distances in Å follow each position.
Fractional coordinates of all 6 atoms:
Pa (0.1271, 0.1271, 0.3818)  3 Re 2.94, 9 Ni 3.02-3.09, 3 Pa 3.07-3.08
Pa (0.8729, 0.8729, 0.6182)  3 Re 2.94, 9 Ni 3.02-3.09, 3 Pa 3.07-3.08
Re (0.5000, 0.5000, 0.5000)  6 Ni 2.64, 6 Pa 2.94
Ni (0.0000, 0.5000, 0.0000)  4 Ni 2.51, 2 Re 2.64
Ni (0.5000, 0.0000, 0.0000)  4 Ni 2.51, 2 Re 2.64
Ni (0.5000, 0.5000, 0.0000)  4 Ni 2.51, 2 Re 2.64


7.
Crystalline Mg3Zr2UN6 at its relaxed geometry, computed with GGA-PBE.

## Properties
The calculation puts the total moment at 1.3 Bohr magnetons per cell. Its energy relative to the elements, uncorrected is -1244 meV per atom. The calculation puts the density of states at the Fermi level at 0.359 states/eV per atom.

Lattice parameters (Å, degrees): 7.2127 7.2127 6.4618 101.46 101.46 26.25
Closest atoms and distances in Å follow each position.
Fractional coordinates of all 12 atoms:
Mg (0.0000, 0.0000, 0.0000)  6 N 2.31-2.32
Mg (0.3295, 0.3295, 0.6655)  6 N 2.28-2.38
Mg (0.6705, 0.6705, 0.3345)  6 N 2.28-2.38
Zr (0.3303, 0.3303, 0.1560)  6 N 2.22-2.31
Zr (0.6697, 0.6697, 0.8440)  6 N 2.22-2.31
U (0.0000, 0.0000, 0.5000)  6 N 2.26-2.29
N (0.1640, 0.1640, 0.5897)  1 U 2.26, 3 Mg 2.28-2.34, 2 Zr 2.31
N (0.1686, 0.1686, 0.0836)  3 Zr 2.22-2.26, 3 Mg 2.30-2.32
N (0.4975, 0.4975, 0.2513)  2 U 2.29, 1 Zr 2.30, 3 Mg 2.31-2.38
N (0.5025, 0.5025, 0.7487)  2 U 2.29, 1 Zr 2.30, 3 Mg 2.31-2.38
N (0.8314, 0.8314, 0.9164)  3 Zr 2.22-2.26, 3 Mg 2.30-2.32
N (0.8360, 0.8360, 0.4103)  1 U 2.26, 3 Mg 2.28-2.34, 2 Zr 2.31


8.
Crystalline TbDy6In6 at its relaxed geometry, computed with GGA-PBE.

## Properties
The calculation puts the total moment at 0.1 Bohr magnetons per cell. As for the formation energy: -0.32 eV per atom. The calculation puts the density of states at the Fermi level at 1.253 states/eV per atom.

Lattice parameters (Å, degrees): 6.2619 6.2619 10.7425 90.00 90.00 120.00
Closest atoms and distances in Å follow each position.
Fractional coordinates of all 13 atoms:
Tb (0.0000, 0.0000, 0.0000)  8 Dy 3.62-3.63
Dy (0.0000, 0.0000, 0.3376)  6 In 3.28, 1 Dy 3.49, 1 Tb 3.63
Dy (0.0000, 0.0000, 0.6624)  6 In 3.28, 1 Dy 3.49, 1 Tb 3.63
Dy (0.3333, 0.6667, 0.0000)  6 In 3.20
Dy (0.3333, 0.6667, 0.5000)  6 In 3.27, 3 Dy 3.62
Dy (0.6667, 0.3333, 0.0000)  6 In 3.20
Dy (0.6667, 0.3333, 0.5000)  6 In 3.27, 3 Dy 3.62
In (0.0000, 0.5000, 0.2458)  4 In 3.13, 6 Dy 3.20-3.28
In (0.0000, 0.5000, 0.7542)  4 In 3.13, 6 Dy 3.20-3.28
In (0.5000, 0.0000, 0.2458)  4 In 3.13, 6 Dy 3.20-3.28
In (0.5000, 0.0000, 0.7542)  4 In 3.13, 6 Dy 3.20-3.28
In (0.5000, 0.5000, 0.2458)  4 In 3.13, 6 Dy 3.20-3.28
In (0.5000, 0.5000, 0.7542)  4 In 3.13, 6 Dy 3.20-3.28


9.
Crystalline Zr2TaMo at its relaxed geometry, computed with GGA-PBE.

## Properties
The calculation puts the total moment at 0.0 Bohr magnetons per cell. As for the formation energy: 0.24 eV per atom. The calculation puts the density of states at the Fermi level at 1.383 states/eV per atom.

Lattice parameters (Å, degrees): 2.8950 4.8715 5.5835 90.00 90.00 90.00
Closest atoms and distances in Å follow each position.
Fractional coordinates of all 4 atoms:
Zr (0.0000, 0.0000, 0.0000)  2 Mo 2.71-2.87, 2 Zr 2.90
Zr (0.5000, 0.5000, 0.2575)  2 Ta 2.72-2.87, 2 Zr 2.90
Ta (0.5000, 0.5000, 0.7441)  2 Zr 2.72-2.87, 2 Ta 2.90
Mo (0.0000, 0.0000, 0.5143)  2 Zr 2.71-2.87, 2 Mo 2.90


10.
Crystalline Ac5PdRh2 at its relaxed geometry, computed with GGA-PBE.

## Properties
The calculation puts the total moment at 0.0 Bohr magnetons per cell. As for the formation energy: -0.53 eV per atom. The calculation puts the density of states at the Fermi level at 0.742 states/eV per atom.

Lattice parameters (Å, degrees): 7.4483 7.4483 14.7856 90.00 90.00 132.54
Closest atoms and distances in Å follow each position.
Fractional coordinates of all 16 atoms:
Ac (0.0530, 0.9470, 0.6184)  2 Rh 2.90-2.91, 1 Pd 3.07
Ac (0.0530, 0.9470, 0.8816)  2 Rh 2.90-2.91, 1 Pd 3.07
Ac (0.2413, 0.7587, 0.2500)  2 Pd 3.03, 2 Rh 3.11
Ac (0.3378, 0.6622, 0.5599)  3 Rh 3.00-3.10, 1 Pd 3.19
Ac (0.3378, 0.6622, 0.9401)  3 Rh 3.00-3.10, 1 Pd 3.19
Ac (0.6622, 0.3378, 0.0599)  3 Rh 3.00-3.10, 1 Pd 3.19
Ac (0.6622, 0.3378, 0.4401)  3 Rh 3.00-3.10, 1 Pd 3.19
Ac (0.7587, 0.2413, 0.7500)  2 Pd 3.03, 2 Rh 3.11
Ac (0.9470, 0.0530, 0.1184)  2 Rh 2.90-2.91, 1 Pd 3.07
Ac (0.9470, 0.0530, 0.3816)  2 Rh 2.90-2.91, 1 Pd 3.07
Pd (0.2275, 0.7725, 0.7500)  6 Ac 3.03-3.19
Pd (0.7725, 0.2275, 0.2500)  6 Ac 3.03-3.19
Rh (0.1494, 0.8506, 0.0572)  6 Ac 2.90-3.11
Rh (0.1494, 0.8506, 0.4428)  6 Ac 2.90-3.11
Rh (0.8506, 0.1494, 0.5572)  6 Ac 2.90-3.11
Rh (0.8506, 0.1494, 0.9428)  6 Ac 2.90-3.11


11.
Crystalline Sr2NbTl3Se6 at its relaxed geometry, computed with GGA-PBE.

## Properties
The calculation puts the total moment at 0.0 Bohr magnetons per cell. Its energy relative to the elements, uncorrected is -1019 meV per atom. The calculation puts the density of states at the Fermi level at 0.040 states/eV per atom.

Lattice parameters (Å, degrees): 7.4389 7.4389 7.8653 98.97 98.97 119.66
Closest atoms and distances in Å follow each position.
Fractional coordinates of all 12 atoms:
Sr (0.1660, 0.8340, 0.0000)  6 Se 3.08-3.11
Sr (0.8340, 0.1660, 0.0000)  6 Se 3.08-3.11
Nb (0.5000, 0.5000, 0.0000)  6 Se 2.64-2.69
Tl (0.0000, 0.0000, 0.5000)  6 Se 3.20-3.52
Tl (0.3329, 0.6671, 0.5000)  4 Se 3.16-3.20
Tl (0.6671, 0.3329, 0.5000)  4 Se 3.16-3.20
Se (0.1443, 0.4306, 0.7935)  1 Nb 2.64
Se (0.2832, 0.2832, 0.2158)  1 Nb 2.69
Se (0.4306, 0.1443, 0.7935)  1 Nb 2.64
Se (0.5694, 0.8557, 0.2065)  1 Nb 2.64
Se (0.7168, 0.7168, 0.7842)  1 Nb 2.69
Se (0.8557, 0.5694, 0.2065)  1 Nb 2.64